# PBE-GGA Pm2Pr2Nd4Tm, relaxed
data_Pm2Pr2Nd4Tm
_chemical_formula_sum 'Pm2 Pr2 Nd4 Tm1'
_cell_length_a 3.6927
_cell_length_b 9.7347
_cell_length_c 9.8287
_cell_angle_alpha 114.98
_cell_angle_beta 90.00
_cell_angle_gamma 100.93
_symmetry_space_group_name_H-M 'P 1'
_symmetry_Int_Tables_number 1
_symmetry_space_group_name_Hall 'P 1'
loop_
_atom_site_label
_atom_site_fract_x
_atom_site_fract_y
_atom_site_fract_z
Tm1 0.0000 0.0000 0.0000
Pr1 0.3353 0.6706 0.0009
Pr2 0.6647 0.3294 0.9991
Pm1 0.8526 0.7053 0.3330
Pm2 0.1474 0.2947 0.6670
Nd1 0.5180 0.0361 0.3293
Nd2 0.4820 0.9639 0.6707
Nd3 0.8148 0.6296 0.6673
Nd4 0.1852 0.3704 0.3327
# **Formation energy**: 13.6 meV/atom
# **Total moment**: 0.0 μB/f.u.
# **SG**: No. 12
# **V**: 34.80 Å³ per atom